1.
# K2YCr SCAN single point on PBEsol structure
data_K2YCr
_chemical_formula_sum 'K8 Y4 Cr4'
_symmetry_space_group_name_H-M 'F -4 3 m'
_symmetry_Int_Tables_number 216
_symmetry_space_group_name_Hall 'F -4 2 3'
_cell_length_a 8.229
_cell_length_b 8.229
_cell_length_c 8.229
_cell_angle_alpha 90.00
_cell_angle_beta 90.00
_cell_angle_gamma 90.00
loop_
_atom_site_label
_atom_site_fract_x
_atom_site_fract_y
_atom_site_fract_z
K1 0.000 0.000 0.000
K2 0.250 0.250 0.250
Y1 0.000 0.000 0.500
Cr1 0.250 0.250 0.750
# Fermi-level density of states = 14.82 states/eV/cell
# E_tot = -14.9351 eV per atom
# Spin magnetization = 6.67 μB/f.u.
# Crystal system = cubic
# Polymorph energy (0 for the lowest one) = 0.0921 eV per atom
# Calculated density = 2.61 g cm⁻³
# Formation enthalpy at 0 K = 0.786 eV/atom


2.
# RbCrO2F SCAN single point on PBEsol structure
data_RbCrO2F
_chemical_formula_sum 'Rb1 Cr1 O2 F1'
_symmetry_space_group_name_H-M 'P 4/m m m'
_symmetry_Int_Tables_number 123
_symmetry_space_group_name_Hall '-P 4 2'
_cell_length_a 3.729
_cell_length_b 3.729
_cell_length_c 4.354
_cell_angle_alpha 90.00
_cell_angle_beta 90.00
_cell_angle_gamma 90.00
loop_
_atom_site_label
_atom_site_fract_x
_atom_site_fract_y
_atom_site_fract_z
Rb1 0.000 0.000 0.000
Cr1 0.500 0.500 0.500
O1 0.000 0.500 0.500
F1 0.500 0.500 0.000
# Fermi-level density of states = 2.07 states/eV/cell
# E_tot = -13.2417 eV per atom
# Spin magnetization = 2.00 μB/f.u.
# Crystal system = tetragonal
# Uncorrected formation energy = -2.216 eV per atom
# Calculated density = 5.17 g cm⁻³


3.
# SrPPdO2 SCAN single point on PBEsol structure
data_SrPPdO2
_chemical_formula_sum 'Sr1 P1 Pd1 O2'
_symmetry_space_group_name_H-M 'P 4/m m m'
_symmetry_Int_Tables_number 123
_symmetry_space_group_name_Hall '-P 4 2'
_cell_length_a 4.117
_cell_length_b 4.117
_cell_length_c 6.319
_cell_angle_alpha 90.00
_cell_angle_beta 90.00
_cell_angle_gamma 90.00
loop_
_atom_site_label
_atom_site_fract_x
_atom_site_fract_y
_atom_site_fract_z
Sr1 0.000 0.000 0.000
P1 0.000 0.000 0.500
Pd1 0.500 0.500 0.500
O1 0.000 0.500 0.000
# Fermi-level density of states = 3.83 states/eV/cell
# E_tot = -15.1130 eV per atom
# Spin magnetization = 2.71 μB/f.u.
# Crystal system = tetragonal
# Uncorrected formation energy = 0.469 eV per atom
# Calculated density = 3.98 g cm⁻³


4.
# MgFePb2 SCAN single point on PBEsol structure
data_MgFePb2
_chemical_formula_sum 'Mg2 Fe2 Pb4'
_symmetry_space_group_name_H-M 'I m m m'
_symmetry_Int_Tables_number 71
_symmetry_space_group_name_Hall '-I 2 2'
_cell_length_a 3.491
_cell_length_b 5.458
_cell_length_c 9.401
_cell_angle_alpha 90.00
_cell_angle_beta 90.00
_cell_angle_gamma 90.00
loop_
_atom_site_label
_atom_site_fract_x
_atom_site_fract_y
_atom_site_fract_z
Mg1 0.000 0.000 0.000
Fe1 0.000 0.000 0.500
Pb1 0.000 0.500 0.221
# Fermi-level density of states = 3.27 states/eV/cell
# E_tot = -43.3753 eV per atom
# Spin magnetization = 2.65 μB/f.u.
# Crystal system = orthorhombic
# Calculated density = 9.17 g cm⁻³
# Formation enthalpy at 0 K = 0.291 eV/atom


5.
# Cu2H3ClO3 SCAN single point on PBEsol structure
data_Cu2H3ClO3
_chemical_formula_sum 'Cu8 H12 Cl4 O12'
_symmetry_space_group_name_H-M 'P 1 21/c 1'
_symmetry_Int_Tables_number 14
_symmetry_space_group_name_Hall '-P 2ybc'
_cell_length_a 6.042
_cell_length_b 6.774
_cell_length_c 9.944
_cell_angle_alpha 90.00
_cell_angle_beta 115.41
_cell_angle_gamma 90.00
loop_
_atom_site_label
_atom_site_fract_x
_atom_site_fract_y
_atom_site_fract_z
Cu1 0.000 0.000 0.000
Cu2 0.006 0.235 0.251
Cu3 0.500 0.000 0.000
H1 0.271 0.708 0.028
H2 0.301 0.181 0.518
H3 0.325 0.517 0.767
Cl1 0.317 0.507 0.180
O1 0.141 0.518 0.720
O2 0.222 0.676 0.457
O3 0.265 0.210 0.943
# E_tot = -8.4258 eV per atom
# Spin magnetization = 0.01 μB/f.u.
# Crystal system = monoclinic
# Polymorph energy (0 for the lowest one) = 0.0000 eV per atom
# Calculated density = 3.86 g cm⁻³


6.
# YSc2Cr SCAN single point on PBEsol structure
data_YSc2Cr
_chemical_formula_sum 'Y2 Sc4 Cr2'
_symmetry_space_group_name_H-M 'I 4/m m m'
_symmetry_Int_Tables_number 139
_symmetry_space_group_name_Hall '-I 4 2'
_cell_length_a 4.674
_cell_length_b 4.674
_cell_length_c 8.046
_cell_angle_alpha 90.00
_cell_angle_beta 90.00
_cell_angle_gamma 90.00
loop_
_atom_site_label
_atom_site_fract_x
_atom_site_fract_y
_atom_site_fract_z
Y1 0.000 0.000 0.000
Sc1 0.000 0.500 0.250
Cr1 0.000 0.000 0.500
# Fermi-level density of states = 6.90 states/eV/cell
# E_tot = -18.5153 eV per atom
# Spin magnetization = 2.22 μB/f.u.
# Crystal system = tetragonal
# Polymorph energy (0 for the lowest one) = 0.0528 eV per atom
# Calculated density = 4.36 g cm⁻³
# Formation enthalpy at 0 K = 0.160 eV/atom


7.
# FePt2Rh SCAN single point on PBEsol structure
data_FePt2Rh
_chemical_formula_sum 'Fe2 Pt4 Rh2'
_symmetry_space_group_name_H-M 'I -4 m 2'
_symmetry_Int_Tables_number 119
_symmetry_space_group_name_Hall 'I -4 -2'
_cell_length_a 3.824
_cell_length_b 3.824
_cell_length_c 7.574
_cell_angle_alpha 90.00
_cell_angle_beta 90.00
_cell_angle_gamma 90.00
loop_
_atom_site_label
_atom_site_fract_x
_atom_site_fract_y
_atom_site_fract_z
Fe1 0.000 0.000 0.000
Pt1 0.000 0.000 0.500
Pt2 0.000 0.500 0.750
Rh1 0.000 0.500 0.250
# Fermi-level density of states = 8.24 states/eV/cell
# E_tot = -48.3282 eV per atom
# Spin magnetization = 4.25 μB/f.u.
# Crystal system = tetragonal
# Calculated density = 16.46 g cm⁻³
# Formation enthalpy at 0 K = -0.256 eV/atom


8.
# CrAs3S SCAN single point on PBEsol structure
data_CrAs3S
_chemical_formula_sum 'Cr1 As3 S1'
_symmetry_space_group_name_H-M 'P m -3 m'
_symmetry_Int_Tables_number 221
_symmetry_space_group_name_Hall '-P 4 2 3'
_cell_length_a 4.673
_cell_length_b 4.673
_cell_length_c 4.673
_cell_angle_alpha 90.00
_cell_angle_beta 90.00
_cell_angle_gamma 90.00
loop_
_atom_site_label
_atom_site_fract_x
_atom_site_fract_y
_atom_site_fract_z
Cr1 0.000 0.000 0.000
As1 0.000 0.500 0.500
S1 0.500 0.500 0.500
# Fermi-level density of states = 2.51 states/eV/cell
# E_tot = -16.9476 eV per atom
# Spin magnetization = 3.23 μB/f.u.
# Crystal system = cubic
# Uncorrected formation energy = 0.769 eV per atom
# Calculated density = 5.03 g cm⁻³


9.
# CsB3H SCAN single point on PBEsol structure
data_CsB3H
_chemical_formula_sum 'Cs1 B3 H1'
_symmetry_space_group_name_H-M 'P m -3 m'
_symmetry_Int_Tables_number 221
_symmetry_space_group_name_Hall '-P 4 2 3'
_cell_length_a 4.066
_cell_length_b 4.066
_cell_length_c 4.066
_cell_angle_alpha 90.00
_cell_angle_beta 90.00
_cell_angle_gamma 90.00
loop_
_atom_site_label
_atom_site_fract_x
_atom_site_fract_y
_atom_site_fract_z
Cs1 0.000 0.000 0.000
B1 0.000 0.500 0.500
H1 0.500 0.500 0.500
# Fermi-level density of states = 1.75 states/eV/cell
# E_tot = -9.9295 eV per atom
# Spin magnetization = 0.00 μB/f.u.
# Crystal system = cubic
# Calculated density = 4.11 g cm⁻³


10.
# SrSb2As SCAN single point on PBEsol structure
data_SrSb2As
_chemical_formula_sum 'Sr1 Sb2 As1'
_symmetry_space_group_name_H-M 'P 4 m m'
_symmetry_Int_Tables_number 99
_symmetry_space_group_name_Hall 'P 4 -2'
_cell_length_a 4.267
_cell_length_b 4.267
_cell_length_c 6.734
_cell_angle_alpha 90.00
_cell_angle_beta 90.00
_cell_angle_gamma 90.00
loop_
_atom_site_label
_atom_site_fract_x
_atom_site_fract_y
_atom_site_fract_z
Sr1 0.000 0.000 0.000
Sb1 0.000 0.000 0.496
Sb2 0.500 0.500 0.364
As1 0.500 0.500 0.977
# Fermi-level density of states = 1.97 states/eV/cell
# E_tot = -29.7506 eV per atom
# Spin magnetization = 0.00 μB/f.u.
# Crystal system = tetragonal
# Uncorrected formation energy = -0.504 eV per atom
# Calculated density = 5.50 g cm⁻³


11.
# CdIr2Ru SCAN single point on PBEsol structure
data_CdIr2Ru
_chemical_formula_sum 'Cd2 Ir4 Ru2'
_symmetry_space_group_name_H-M 'I -4 m 2'
_symmetry_Int_Tables_number 119
_symmetry_space_group_name_Hall 'I -4 -2'
_cell_length_a 3.891
_cell_length_b 3.891
_cell_length_c 7.833
_cell_angle_alpha 90.00
_cell_angle_beta 90.00
_cell_angle_gamma 90.00
loop_
_atom_site_label
_atom_site_fract_x
_atom_site_fract_y
_atom_site_fract_z
Cd1 0.000 0.000 0.000
Ir1 0.000 0.000 0.500
Ir2 0.000 0.500 0.250
Ru1 0.000 0.500 0.750
# Fermi-level density of states = 7.70 states/eV/cell
# E_tot = -51.5574 eV per atom
# Spin magnetization = 0.00 μB/f.u.
# Crystal system = tetragonal
# Calculated density = 16.74 g cm⁻³
# Formation enthalpy at 0 K = 0.302 eV/atom


12.
# Nb2SnHBr SCAN single point on PBEsol structure
data_Nb2SnHBr
_chemical_formula_sum 'Nb2 Sn1 H1 Br1'
_symmetry_space_group_name_H-M 'P 4/m m m'
_symmetry_Int_Tables_number 123
_symmetry_space_group_name_Hall '-P 4 2'
_cell_length_a 4.706
_cell_length_b 4.706
_cell_length_c 5.563
_cell_angle_alpha 90.00
_cell_angle_beta 90.00
_cell_angle_gamma 90.00
loop_
_atom_site_label
_atom_site_fract_x
_atom_site_fract_y
_atom_site_fract_z
Nb1 0.000 0.500 0.000
Sn1 0.000 0.000 0.500
H1 0.500 0.500 0.500
Br1 0.000 0.000 0.000
# Fermi-level density of states = 4.11 states/eV/cell
# E_tot = -23.0978 eV per atom
# Spin magnetization = 0.00 μB/f.u.
# Crystal system = tetragonal
# Calculated density = 5.20 g cm⁻³